Entry from OQMD: an optimized crystal structure of TcPAuO (PBE-GGA).

Results
final energy = -6.3863 eV/atom
total magnetic moment = 0.00 μB per formula unit
space-group type = Pmc2_1, No. 26

abc: 3.770 6.953 4.891
angles: 90.00 90.00 90.00
Fractional coordinates of all 8 atoms:
Au (0.500, 0.085, 0.459)
Au (0.500, 0.915, 0.959)
O (0.500, 0.632, 0.434)
O (0.500, 0.368, 0.934)
P (0.000, 0.291, 0.428)
P (0.000, 0.709, 0.928)
Tc (0.000, 0.628, 0.433)
Tc (0.000, 0.372, 0.933)